The following is a DFT calculation (PBE with a Hubbard U) of crystalline MgTl2NiF6 at its relaxed geometry.

Summary:
The value obtained for the raw total energy is -4.437 eV per atom. The calculation puts the size of the total moment at 2.0 μB per cell.

POSCAR file:
```
MgTl2NiF6
1.0
-2.931 2.931 4.140
2.931 -2.931 4.140
2.931 2.931 -4.140
Mg Tl Ni F
1 2 1 6
Cartesian
0.000 0.000 0.000 Mg
2.931 0.000 2.070 Tl
0.000 2.931 2.070 Tl
0.000 0.000 4.140 Ni
0.000 0.000 2.062 F
1.460 1.460 0.000 F
1.471 -1.471 4.140 F
-1.471 1.471 4.140 F
0.000 0.000 6.219 F
1.471 1.471 4.140 F
```